This record from Alexandria via LeMat-Bulk describes a geometry-optimized TlSbTe2 structure. The functional is PBE-GGA.

a = 4.1302 Å, b = 5.9071 Å, c = 10.5874 Å
α = 90.00°, β = 90.00°, γ = 90.00°
Closest atoms and distances in Å follow each position.
Space group Immm (No. 71)
Unique sites:
Tl  0.0000  0.0000  0.0000 [2 per cell]  4 Sb 3.60, 8 Te 3.68-3.72
Sb  0.0000  0.0000  0.5000 [2 per cell]  4 Te 3.01
Te  0.0000  0.5000  0.2072 [4 per cell]  2 Sb 3.01

Summary:
total magnetic moment	0.000	μB per cell
formation energy from raw total energies	0.010	eV per atom
calculated total energy	-3.183	eV per atom